The following is a DFT calculation (PBE) of LaNdIn2Se4 after structural relaxation.

Lattice parameters (Å, degrees): 4.3423 8.0941 7.5207 71.99 90.00 90.00
With the nearest neighbours (Å) after each atom.
Atoms (fractional coordinates):
In1 0.5000 0.0000 0.5000  6 Se 3.31-3.32
In2 0.0000 0.0000 0.0000  6 Se 3.34-3.35
Nd1 0.0000 0.5000 0.5000  6 Se 2.98-2.99
Se1 0.5000 0.2849 0.7348  2 Nd 2.99, 1 La 3.03, 3 In 3.31-3.34
Se2 0.0000 0.7157 0.7578  1 Nd 2.98, 2 La 3.02, 2 In 3.32
Se3 0.5000 0.7151 0.2652  2 Nd 2.99, 1 La 3.03, 3 In 3.31-3.34
Se4 0.0000 0.2843 0.2422  1 Nd 2.98, 2 La 3.02, 2 In 3.32
La1 0.5000 0.5000 0.0000  6 Se 3.02-3.03

Output
The uncorrected formation energy is -1.327 eV per atom. For the calculated total energy, the calculation gives -4.966 eV/atom. The symmetry is No. 10.

The following is a DFT calculation (PBE) of La2Nd2Sm2In after structural relaxation.

Lattice parameters (Å, degrees): 3.5889 8.4692 11.4103 131.63 90.00 102.23
With the nearest neighbours (Å) after each atom.
Atoms (fractional coordinates):
Sm1 0.3639 0.7278 0.5568  1 Nd 3.27, 2 In 3.27, 1 La 3.51, 4 Sm 3.53-3.59
Sm2 0.6361 0.2722 0.4432  1 Nd 3.27, 2 In 3.27, 1 La 3.51, 4 Sm 3.53-3.59
Nd1 0.3671 0.7342 0.1706  1 Sm 3.27, 2 In 3.31, 1 La 3.52, 4 Nd 3.59
Nd2 0.6329 0.2658 0.8294  1 Sm 3.27, 2 In 3.31, 1 La 3.52, 4 Nd 3.59
La1 0.3301 0.6602 0.8285  3 Sm 3.51-3.70, 3 Nd 3.52-3.73, 2 La 3.59
La2 0.6699 0.3398 0.1715  3 Sm 3.51-3.70, 3 Nd 3.52-3.73, 2 La 3.59
In1 0.0000 0.0000 0.5000  4 Sm 3.27, 4 Nd 3.31, 2 In 3.59

Output
The value obtained for the formation enthalpy at 0 K is 0.046 eV per atom. For the calculated total energy, the calculation gives -4.464 eV/atom. The symmetry is No. 12.

The following is a DFT calculation (PBE) of La3Nd6Sm2In after structural relaxation.

Lattice parameters (Å, degrees): 6.3042 6.3042 12.0529 95.11 95.11 120.18
With the nearest neighbours (Å) after each atom.
Atoms (fractional coordinates):
In1 0.0000 0.0000 0.0000  6 Nd 3.53-3.57, 6 Sm 3.63-3.65
Sm1 0.3340 0.6660 0.0000  6 Nd 3.58-3.60, 3 Sm 3.63-3.64, 3 In 3.63-3.65
Sm2 0.6660 0.3340 0.0000  6 Nd 3.58-3.60, 3 Sm 3.63-3.64, 3 In 3.63-3.65
Nd1 0.9199 0.5954 0.7569  1 In 3.53, 6 Nd 3.54-3.69, 2 Sm 3.58-3.59, 3 La 3.68-3.71
Nd2 0.7562 0.7562 0.2454  6 Nd 3.54-3.69, 1 In 3.57, 2 Sm 3.60, 3 La 3.69-3.71
Nd3 0.2438 0.2438 0.7546  6 Nd 3.54-3.69, 1 In 3.57, 2 Sm 3.60, 3 La 3.69-3.71
Nd4 0.4046 0.0801 0.2431  1 In 3.53, 6 Nd 3.54-3.69, 2 Sm 3.58-3.59, 3 La 3.68-3.71
Nd5 0.0801 0.4046 0.2431  1 In 3.53, 6 Nd 3.54-3.69, 2 Sm 3.58-3.59, 3 La 3.68-3.71
Nd6 0.5954 0.9199 0.7569  1 In 3.53, 6 Nd 3.54-3.69, 2 Sm 3.58-3.59, 3 La 3.68-3.71
La1 0.1714 0.8286 0.5000  6 La 3.58-3.75, 6 Nd 3.69-3.71
La2 0.5000 0.5000 0.5000  6 La 3.59-3.66, 6 Nd 3.68-3.71
La3 0.8286 0.1714 0.5000  6 La 3.58-3.75, 6 Nd 3.69-3.71

Output
The value obtained for the formation enthalpy at 0 K is -0.045 eV per atom. For the calculated total energy, the calculation gives -4.675 eV/atom. The symmetry is No. 12.

The following is a DFT calculation (PBE) of La3Nd3In2Sn after structural relaxation.

Lattice parameters (Å, degrees): 4.3942 8.8191 8.8191 120.00 90.00 90.00
With the nearest neighbours (Å) after each atom.
Atoms (fractional coordinates):
La1 0.5000 0.2754 0.2754  2 In 3.23, 2 Sn 3.27
La2 0.5000 0.7246 0.0000  2 In 3.23, 2 Sn 3.27
La3 0.5000 0.0000 0.7246  2 In 3.23, 2 Sn 3.27
Nd1 0.0000 0.0000 0.3973  4 In 3.48, 1 Sn 3.50, 6 La 3.63-3.81
Nd2 0.0000 0.6027 0.6027  4 In 3.48, 1 Sn 3.50, 6 La 3.63-3.81
Nd3 0.0000 0.3973 0.0000  4 In 3.48, 1 Sn 3.50, 6 La 3.63-3.81
Sn1 0.0000 0.0000 0.0000  6 La 3.27, 3 Nd 3.50
In1 0.5000 0.3333 0.6667  3 La 3.23, 6 Nd 3.48
In2 0.5000 0.6667 0.3333  3 La 3.23, 6 Nd 3.48

Output
The value obtained for the formation enthalpy at 0 K is -0.398 eV per atom. For the calculated total energy, the calculation gives -4.683 eV/atom. The symmetry is No. 189.

The following is a DFT calculation (PBE) of La3Tb2Nd6In after structural relaxation.

Lattice parameters (Å, degrees): 6.3042 6.3042 11.9828 95.16 95.16 120.23
With the nearest neighbours (Å) after each atom.
Atoms (fractional coordinates):
Nd1 0.5960 0.9210 0.7587  1 In 3.50, 6 Nd 3.54-3.69, 2 Tb 3.55-3.56, 3 La 3.69-3.70
Nd2 0.0790 0.4040 0.2413  1 In 3.50, 6 Nd 3.54-3.69, 2 Tb 3.55-3.56, 3 La 3.69-3.70
Nd3 0.9210 0.5960 0.7587  1 In 3.50, 6 Nd 3.54-3.69, 2 Tb 3.55-3.56, 3 La 3.69-3.70
Nd4 0.2454 0.2454 0.7561  6 Nd 3.54-3.69, 1 In 3.54, 2 Tb 3.56, 3 La 3.69-3.71
Nd5 0.4040 0.0790 0.2413  1 In 3.50, 6 Nd 3.54-3.69, 2 Tb 3.55-3.56, 3 La 3.69-3.70
Nd6 0.7546 0.7546 0.2439  6 Nd 3.54-3.69, 1 In 3.54, 2 Tb 3.56, 3 La 3.69-3.71
La1 0.1715 0.8285 0.5000  6 La 3.58-3.75, 6 Nd 3.69-3.70
La2 0.8285 0.1715 0.5000  6 La 3.58-3.75, 6 Nd 3.69-3.70
La3 0.5000 0.5000 0.5000  6 La 3.59-3.66, 6 Nd 3.69-3.71
Tb1 0.6658 0.3342 0.0000  6 Nd 3.55-3.56, 3 Tb 3.62-3.64, 3 In 3.63-3.65
Tb2 0.3342 0.6658 0.0000  6 Nd 3.55-3.56, 3 Tb 3.62-3.64, 3 In 3.63-3.65
In1 0.0000 0.0000 0.0000  6 Nd 3.50-3.54, 6 Tb 3.63-3.65

Output
The value obtained for the formation enthalpy at 0 K is -0.036 eV per atom. For the calculated total energy, the calculation gives -4.652 eV/atom. The symmetry is No. 12.

The following is a DFT calculation (PBE) of La2TbNd2In5 after structural relaxation.

Lattice parameters (Å, degrees): 4.7173 11.2227 11.2227 90.00 90.00 90.00
With the nearest neighbours (Å) after each atom.
Atoms (fractional coordinates):
Nd1 0.0000 0.3706 0.1294  1 La 3.08, 6 In 3.13-3.21
Nd2 0.0000 0.8706 0.3706  1 La 3.08, 6 In 3.13-3.21
Nd3 0.0000 0.1294 0.6294  1 La 3.08, 6 In 3.13-3.21
Nd4 0.0000 0.6294 0.8706  1 La 3.08, 6 In 3.13-3.21
In1 0.5000 0.9415 0.1900  2 In 3.15, 2 Nd 3.21, 2 Tb 3.25
In2 0.5000 0.0000 0.5000  4 Nd 3.13
In3 0.5000 0.0585 0.8100  2 In 3.15, 2 Nd 3.21, 2 Tb 3.25
In4 0.5000 0.1900 0.0585  2 In 3.15, 2 Nd 3.21, 2 Tb 3.25
In5 0.5000 0.3100 0.5585  2 In 3.15, 2 Nd 3.21, 2 Tb 3.25
In6 0.5000 0.4415 0.3100  2 In 3.15, 2 Nd 3.21, 2 Tb 3.25
In7 0.5000 0.5000 0.0000  4 Nd 3.13
In8 0.5000 0.6900 0.4415  2 In 3.15, 2 Nd 3.21, 2 Tb 3.25
In9 0.5000 0.5585 0.6900  2 In 3.15, 2 Nd 3.21, 2 Tb 3.25
In10 0.5000 0.8100 0.9415  2 In 3.15, 2 Nd 3.21, 2 Tb 3.25
Tb1 0.0000 0.5000 0.5000  8 In 3.25
Tb2 0.0000 0.0000 0.0000  8 In 3.25
La1 0.0000 0.1765 0.3235  1 Nd 3.08
La2 0.0000 0.8235 0.6765  1 Nd 3.08
La3 0.0000 0.6765 0.1765  1 Nd 3.08
La4 0.0000 0.3235 0.8235  1 Nd 3.08

Output
The value obtained for the formation enthalpy at 0 K is -0.358 eV per atom. For the calculated total energy, the calculation gives -4.130 eV/atom. The symmetry is No. 127.